VASP calculation (PBE-GGA) on crystalline Nb4ZnPbN2 at its relaxed geometry. Values from VASP.

Structure (Quantum ESPRESSO input):
```
&SYSTEM
  ibrav = 0, nat = 8, ntyp = 4
/
ATOMIC_SPECIES
Nb 92.91 Nb.upf
Zn 65.41 Zn.upf
Pb 207.20 Pb.upf
N 14.01 N.upf
CELL_PARAMETERS angstrom
3.228 0.000 0.000
-1.614 2.795 0.000
0.000 0.000 13.707
ATOMIC_POSITIONS crystal
Nb 0.000 0.000 0.156
Nb 0.000 0.000 0.844
Nb 0.333 0.667 0.322
Nb 0.333 0.667 0.678
Zn 0.333 0.667 0.000
Pb 0.000 0.000 0.500
N 0.667 0.333 0.239
N 0.667 0.333 0.761
```

Computed properties:
Magnetization, μB/f.u.: 0.01
DFT total energy, eV/atom: -8.18
V, Å³/cell: 123.7